Here is a relaxed structure of YReAs2Se from Alexandria via LeMat-Bulk. Energies are from GGA-PBE.

Calculated values
Distance to the lowest polymorph of the same formula, eV per atom: 0.000
Formation energy from raw total energies, eV per formula unit: 0.0
Spin magnetization, μB per cell: 0.00

a b c (Å): 4.687 4.687 5.516
angles (deg): 90.00 90.00 90.00
Positions (direct):
1 Y 0.500 0.500 0.500
2 Re 0.000 0.000 0.000
3 As 0.000 0.500 0.000
4 As 0.500 0.000 0.000
5 Se 0.000 0.000 0.500